No. 1
## Y2VPd2 (PBE)

Data for crystalline Y2VPd2 at its relaxed geometry.

Results
Energy of formation, eV per atom: -0.185
Fermi-level density of states, states/eV per atom: 0.9314
Final energy, eV/atom: -6.672

Cell lengths 8.0900, 8.0900, 3.3502 Å; angles 90.00, 90.00, 90.00 degrees
Last column: nearest neighbours and their distance in Å.
Fractional coordinates of all 10 atoms:
1 Y 0.1584 0.3416 0.0000  6 Pd 2.86-2.93, 2 V 3.05
2 Y 0.3416 0.8416 0.0000  6 Pd 2.86-2.93, 2 V 3.05
3 Y 0.6584 0.1584 0.0000  6 Pd 2.86-2.93, 2 V 3.05
4 Y 0.8416 0.6584 0.0000  6 Pd 2.86-2.93, 2 V 3.05
5 V 0.0000 0.0000 0.0000  4 Y 3.05, 2 V 3.35
6 V 0.5000 0.5000 0.0000  4 Y 3.05, 2 V 3.35
7 Pd 0.1388 0.6388 0.5000  6 Y 2.86-2.93, 1 Pd 3.18
8 Pd 0.3612 0.1388 0.5000  6 Y 2.86-2.93, 1 Pd 3.18
9 Pd 0.6388 0.8612 0.5000  6 Y 2.86-2.93, 1 Pd 3.18
10 Pd 0.8612 0.3612 0.5000  6 Y 2.86-2.93, 1 Pd 3.18



No. 2
## YVPd3 (PBE)

Data for crystalline YVPd3 at its relaxed geometry.

Results
Energy of formation, eV per atom: 0.014
Fermi-level density of states, states/eV per atom: 0.8234
Final energy, eV/atom: -6.218

Cell lengths 4.6845, 4.6845, 4.6845 Å; angles 90.00, 90.00, 90.00 degrees
Last column: nearest neighbours and their distance in Å.
Fractional coordinates of all 5 atoms:
1 Y 0.0000 0.0000 0.0000  12 Pd 3.31
2 V 0.5000 0.5000 0.5000  6 Pd 2.34
3 Pd 0.0000 0.5000 0.5000  2 V 2.34
4 Pd 0.5000 0.0000 0.5000  2 V 2.34
5 Pd 0.5000 0.5000 0.0000  2 V 2.34



No. 3
## YV2Pd (PBE)

Data for crystalline YV2Pd at its relaxed geometry.

Results
Energy of formation, eV per atom: 0.404
Fermi-level density of states, states/eV per atom: 1.2138
Final energy, eV/atom: -7.069

Cell lengths 10.2519, 10.2519, 10.2519 Å; angles 156.73, 156.73, 33.14 degrees
Last column: nearest neighbours and their distance in Å.
Fractional coordinates of all 8 atoms:
1 Y 0.3750 0.6250 0.7500  4 Pd 2.92
2 Y 0.6250 0.3750 0.2500  4 Pd 2.92
3 V 0.0000 0.0000 0.0000  2 V 2.07
4 V 0.0000 0.0000 0.5000  2 V 2.07
5 V 0.0000 0.5000 0.0000  2 V 2.07
6 V 0.5000 0.0000 0.5000  2 V 2.07
7 Pd 0.1250 0.8750 0.2500  4 V 2.67, 4 Y 2.92
8 Pd 0.8750 0.1250 0.7500  4 V 2.67, 4 Y 2.92



No. 4
## VZn6Pd12 (PBE)

Data for crystalline VZn6Pd12 at its relaxed geometry.

Results
Energy of formation, eV per atom: -0.306
Fermi-level density of states, states/eV per atom: 0.6983
Final energy, eV/atom: -4.468

Cell lengths 7.3025, 7.3025, 7.3025 Å; angles 110.63, 110.63, 110.63 degrees
Last column: nearest neighbours and their distance in Å.
Fractional coordinates of all 19 atoms:
1 V 0.0000 0.0000 0.0000  6 Pd 2.70, 6 Zn 2.82
2 Zn 0.1896 0.4762 0.3089  7 Pd 2.61-2.76, 1 V 2.82
3 Zn 0.3089 0.1896 0.4762  7 Pd 2.61-2.76, 1 V 2.82
4 Zn 0.4762 0.3089 0.1896  7 Pd 2.61-2.76, 1 V 2.82
5 Zn 0.5238 0.6911 0.8104  7 Pd 2.61-2.76, 1 V 2.82
6 Zn 0.6911 0.8104 0.5238  7 Pd 2.61-2.76, 1 V 2.82
7 Zn 0.8104 0.5238 0.6911  7 Pd 2.61-2.76, 1 V 2.82
8 Pd 0.0792 0.3769 0.5809  4 Zn 2.61-2.76, 8 Pd 2.78-2.92
9 Pd 0.0985 0.7403 0.1553  3 Zn 2.67-2.71, 1 V 2.70, 8 Pd 2.70-2.88
10 Pd 0.1553 0.0985 0.7403  3 Zn 2.67-2.71, 1 V 2.70, 8 Pd 2.70-2.88
11 Pd 0.2597 0.8447 0.9015  3 Zn 2.67-2.71, 1 V 2.70, 8 Pd 2.70-2.88
12 Pd 0.3769 0.5809 0.0792  4 Zn 2.61-2.76, 8 Pd 2.78-2.92
13 Pd 0.4191 0.9208 0.6231  4 Zn 2.61-2.76, 8 Pd 2.78-2.92
14 Pd 0.5809 0.0792 0.3769  4 Zn 2.61-2.76, 8 Pd 2.78-2.92
15 Pd 0.6231 0.4191 0.9208  4 Zn 2.61-2.76, 8 Pd 2.78-2.92
16 Pd 0.7403 0.1553 0.0985  3 Zn 2.67-2.71, 1 V 2.70, 8 Pd 2.70-2.88
17 Pd 0.8447 0.9015 0.2597  3 Zn 2.67-2.71, 1 V 2.70, 8 Pd 2.70-2.88
18 Pd 0.9015 0.2597 0.8447  3 Zn 2.67-2.71, 1 V 2.70, 8 Pd 2.70-2.88
19 Pd 0.9208 0.6231 0.4191  4 Zn 2.61-2.76, 8 Pd 2.78-2.92